(1)
Computed, not measured: a relaxed structure of BaScIn2 at the PBE-GGA level of DFT.

The structure in extended XYZ format:
```
8
Lattice="5.269 0.000 0.000 0.000 5.276 0.000 0.000 0.000 9.031" Properties=species:S:1:pos:R:3 pbc="T T T"
Ba 0.000 0.000 0.000
Ba 2.634 2.638 0.000
Sc 0.000 2.638 2.967
Sc 2.634 0.000 2.967
In 0.000 0.000 4.594
In 0.000 2.638 6.423
In 2.634 0.000 6.423
In 2.634 2.638 4.594
```

Results
Raw total energy, eV per cell: -28.007
Space-group type: Cmm2, No. 35


(2)
Computed, not measured: a relaxed structure of SrCePd2 at the PBE-GGA level of DFT.

The structure in extended XYZ format:
```
4
Lattice="3.643 0.000 0.000 0.000 3.643 0.000 0.000 0.000 7.457" Properties=species:S:1:pos:R:3 pbc="T T T"
Sr 0.000 0.000 0.000
Ce 0.000 0.000 3.729
Pd 1.822 1.822 2.171
Pd 1.822 1.822 5.286
```

Results
Raw total energy, eV per cell: -20.539
Space-group type: P4/mmm, No. 123
Distance to the lowest polymorph of the same formula, meV per atom: 0.0


Record order is preserved below.
Formation enthalpy at 0 K: -0.068, -0.634 eV per atom